Ba2ReSe after structural relaxation. Source: Alexandria via LeMat-Bulk, functional GGA-PBEsol.

Values from the calculation:
Its space group is R-3m, No. 166. For the density of states at the Fermi level, the calculation gives 1.341 states/eV/cell. As for the formation energy without anion corrections: 0.289 eV/atom. The crystal system is trigonal. The total magnetization is 3.01 μB per cell.

a = 8.5481 Å, b = 8.5481 Å, c = 8.5481 Å
α = 29.78°, β = 29.78°, γ = 29.78°
Closest atoms and distances in Å follow each position.
Element x y z (fractional)
Ba (0.2471, 0.2471, 0.2471)  3 Se 3.21, 3 Re 3.30
Ba (0.7529, 0.7529, 0.7529)  3 Se 3.21, 3 Re 3.30
Re (0.0000, 0.0000, 0.0000)  6 Ba 3.30
Se (0.5000, 0.5000, 0.5000)  6 Ba 3.21

BaRe2Se after structural relaxation. Source: Alexandria via LeMat-Bulk, functional GGA-PBEsol.

Values from the calculation:
Its space group is P4/mmm, No. 123. For the density of states at the Fermi level, the calculation gives 3.915 states/eV/cell. As for the formation energy without anion corrections: 1.068 eV/atom. The crystal system is tetragonal. The total magnetization is 0.00 μB per cell.

a = 3.1078 Å, b = 3.1078 Å, c = 8.2223 Å
α = 90.00°, β = 90.00°, γ = 90.00°
Closest atoms and distances in Å follow each position.
Element x y z (fractional)
Ba (0.0000, 0.0000, 0.0000)  4 Ba 3.11
Re (0.5000, 0.5000, 0.3334)  4 Se 2.59, 1 Re 2.74
Re (0.5000, 0.5000, 0.6666)  4 Se 2.59, 1 Re 2.74
Se (0.0000, 0.0000, 0.5000)  8 Re 2.59

Question: What is the formation energy without anion corrections in the first record?
Answer: 0.289 eV/atom

Question: Among the records above, which one has the lowest total magnetization?
Answer: BaRe2Se